Entry from Alexandria: crystalline Fe3SbRh at its relaxed geometry (PBE).

**Energy**: -6.385 eV/atom
**Spin magnetization**: 2.077 μB per atom
**Mass density**: 6.55 g/cm3
**Formation energy (no corrections)**: 476 kJ/mol of formula units
**ΔE to the lowest computed polymorph**: 0 kJ/mol of formula units
**Fermi-level density of states**: 0.962 states/eV per atom

a b c (Å): 4.632 4.632 4.632
angles (deg): 90.00 90.00 90.00
Fractional positions:
Fe  0.000  0.000  0.500
Fe  0.000  0.500  0.000
Fe  0.500  0.000  0.000
Sb  0.500  0.500  0.500
Rh  0.000  0.000  0.000